Record 1
# TmSn2BiO6 PBE relaxed
data_TmSn2BiO6
_chemical_formula_sum 'Tm1 Sn2 Bi1 O6'
_cell_length_a 5.198
_cell_length_b 5.337
_cell_length_c 5.942
_cell_angle_alpha 94.06
_cell_angle_beta 90.00
_cell_angle_gamma 105.96
_space_group_name_H-M_alt 'P 1'
_space_group_IT_number 1
_space_group_name_Hall 'P 1'
loop_
_atom_site_label
_atom_site_fract_x
_atom_site_fract_y
_atom_site_fract_z
Tm1 0.000 0.000 0.000
Sn1 0.299 0.706 0.423
Sn2 0.701 0.294 0.577
Bi1 0.500 0.500 0.000
O1 0.240 0.744 0.068
O2 0.271 0.300 0.262
O3 0.281 0.236 0.742
O4 0.719 0.764 0.258
O5 0.729 0.700 0.738
O6 0.760 0.256 0.932
# - volume (Å³ per cell) = 158
# - E (eV per atom) = -6.110


Record 2
# Sr2TcBiO6 PBE relaxed
data_Sr2TcBiO6
_chemical_formula_sum 'Sr2 Tc1 Bi1 O6'
_cell_length_a 3.726
_cell_length_b 3.726
_cell_length_c 10.444
_cell_angle_alpha 90.00
_cell_angle_beta 90.00
_cell_angle_gamma 90.00
_space_group_name_H-M_alt 'P 1'
_space_group_IT_number 1
_space_group_name_Hall 'P 1'
loop_
_atom_site_label
_atom_site_fract_x
_atom_site_fract_y
_atom_site_fract_z
Sr1 0.000 0.000 0.243
Sr2 0.000 0.000 0.757
Tc1 0.500 0.500 0.500
Bi1 0.500 0.500 0.000
O1 0.000 0.000 0.000
O2 0.000 0.000 0.500
O3 0.000 0.500 0.385
O4 0.000 0.500 0.615
O5 0.500 0.000 0.385
O6 0.500 0.000 0.615
# - volume (Å³ per cell) = 145
# - E (eV per atom) = -5.591


Record 3
# Ta2BiO4 PBE relaxed
data_Ta2BiO4
_chemical_formula_sum 'Ta4 Bi2 O8'
_cell_length_a 6.621
_cell_length_b 6.621
_cell_length_c 6.621
_cell_angle_alpha 60.00
_cell_angle_beta 60.00
_cell_angle_gamma 60.00
_space_group_name_H-M_alt 'P 1'
_space_group_IT_number 1
_space_group_name_Hall 'P 1'
loop_
_atom_site_label
_atom_site_fract_x
_atom_site_fract_y
_atom_site_fract_z
Ta1 0.000 0.000 0.000
Ta2 0.000 0.000 0.500
Ta3 0.000 0.500 0.000
Ta4 0.500 0.000 0.000
Bi1 0.375 0.375 0.375
Bi2 0.625 0.625 0.625
O1 0.163 0.779 0.779
O2 0.221 0.221 0.221
O3 0.221 0.221 0.837
O4 0.221 0.837 0.221
O5 0.779 0.163 0.779
O6 0.779 0.779 0.163
O7 0.779 0.779 0.779
O8 0.837 0.221 0.221
# - volume (Å³ per cell) = 205
# - E (eV per atom) = -8.275


Record 4
# TaBiO4 PBE relaxed
data_TaBiO4
_chemical_formula_sum 'Ta4 Bi4 O16'
_cell_length_a 5.658
_cell_length_b 11.751
_cell_length_c 4.962
_cell_angle_alpha 90.00
_cell_angle_beta 90.00
_cell_angle_gamma 90.00
_space_group_name_H-M_alt 'P 1'
_space_group_IT_number 1
_space_group_name_Hall 'P 1'
loop_
_atom_site_label
_atom_site_fract_x
_atom_site_fract_y
_atom_site_fract_z
Ta1 0.137 0.250 0.250
Ta2 0.363 0.750 0.250
Ta3 0.637 0.250 0.750
Ta4 0.863 0.750 0.750
Bi1 0.250 0.000 0.730
Bi2 0.250 0.500 0.770
Bi3 0.750 0.000 0.270
Bi4 0.750 0.500 0.230
O1 0.084 0.098 0.415
O2 0.084 0.402 0.085
O3 0.140 0.693 0.506
O4 0.140 0.807 0.994
O5 0.360 0.193 0.994
O6 0.360 0.307 0.506
O7 0.416 0.598 0.085
O8 0.416 0.902 0.415
O9 0.584 0.098 0.585
O10 0.584 0.402 0.915
O11 0.640 0.693 0.494
O12 0.640 0.807 0.006
O13 0.860 0.193 0.006
O14 0.860 0.307 0.494
O15 0.916 0.598 0.915
O16 0.916 0.902 0.585
# - volume (Å³ per cell) = 330
# - E (eV per atom) = -8.180


Record 5
# TaBiO4 PBE relaxed
data_TaBiO4
_chemical_formula_sum 'Ta4 Bi4 O16'
_cell_length_a 5.575
_cell_length_b 7.708
_cell_length_c 7.751
_cell_angle_alpha 77.54
_cell_angle_beta 89.94
_cell_angle_gamma 86.62
_space_group_name_H-M_alt 'P 1'
_space_group_IT_number 1
_space_group_name_Hall 'P 1'
loop_
_atom_site_label
_atom_site_fract_x
_atom_site_fract_y
_atom_site_fract_z
Ta1 0.224 0.156 0.195
Ta2 0.244 0.175 0.694
Ta3 0.756 0.825 0.306
Ta4 0.776 0.844 0.805
Bi1 0.235 0.620 0.113
Bi2 0.290 0.671 0.609
Bi3 0.710 0.329 0.391
Bi4 0.765 0.380 0.887
O1 0.011 0.608 0.823
O2 0.041 0.667 0.368
O3 0.080 0.950 0.719
O4 0.149 0.177 0.947
O5 0.308 0.170 0.449
O6 0.436 0.951 0.214
O7 0.441 0.393 0.673
O8 0.458 0.345 0.135
O9 0.542 0.655 0.865
O10 0.559 0.607 0.327
O11 0.564 0.049 0.786
O12 0.692 0.830 0.551
O13 0.851 0.823 0.053
O14 0.920 0.050 0.281
O15 0.959 0.333 0.632
O16 0.989 0.392 0.177
# - volume (Å³ per cell) = 325
# - E (eV per atom) = -8.184


Record 6
# TaBiO4 PBE relaxed
data_TaBiO4
_chemical_formula_sum 'Ta2 Bi2 O8'
_cell_length_a 6.257
_cell_length_b 6.257
_cell_length_c 6.257
_cell_angle_alpha 107.06
_cell_angle_beta 107.06
_cell_angle_gamma 114.42
_space_group_name_H-M_alt 'P 1'
_space_group_IT_number 1
_space_group_name_Hall 'P 1'
loop_
_atom_site_label
_atom_site_fract_x
_atom_site_fract_y
_atom_site_fract_z
Ta1 0.375 0.625 0.750
Ta2 0.625 0.375 0.250
Bi1 0.125 0.875 0.250
Bi2 0.875 0.125 0.750
O1 0.197 0.257 0.560
O2 0.197 0.638 0.940
O3 0.257 0.197 0.060
O4 0.362 0.803 0.560
O5 0.638 0.197 0.440
O6 0.743 0.803 0.940
O7 0.803 0.362 0.060
O8 0.803 0.743 0.440
# - volume (Å³ per cell) = 187
# - E (eV per atom) = -8.054


Record 7
# Ta3Bi7O18 PBE relaxed
data_Ta3Bi7O18
_chemical_formula_sum 'Ta6 Bi14 O36'
_cell_length_a 6.618
_cell_length_b 7.624
_cell_length_c 16.361
_cell_angle_alpha 103.34
_cell_angle_beta 92.62
_cell_angle_gamma 90.08
_space_group_name_H-M_alt 'P 1'
_space_group_IT_number 1
_space_group_name_Hall 'P 1'
loop_
_atom_site_label
_atom_site_fract_x
_atom_site_fract_y
_atom_site_fract_z
Ta1 0.000 0.000 0.000
Ta2 0.001 0.498 0.999
Ta3 0.362 0.196 0.393
Ta4 0.365 0.696 0.393
Ta5 0.607 0.813 0.619
Ta6 0.611 0.308 0.616
Bi1 0.087 0.055 0.613
Bi2 0.154 0.560 0.602
Bi3 0.177 0.358 0.212
Bi4 0.182 0.836 0.179
Bi5 0.299 0.896 0.814
Bi6 0.301 0.393 0.795
Bi7 0.460 0.256 0.007
Bi8 0.537 0.744 0.997
Bi9 0.659 0.106 0.216
Bi10 0.667 0.606 0.215
Bi11 0.792 0.162 0.826
Bi12 0.805 0.644 0.788
Bi13 0.827 0.455 0.408
Bi14 0.893 0.949 0.397
O1 0.048 0.516 0.124
O2 0.058 0.237 0.971
O3 0.061 0.128 0.744
O4 0.081 0.252 0.408
O5 0.083 0.103 0.118
O6 0.085 0.655 0.411
O7 0.140 0.615 0.735
O8 0.293 0.938 0.969
O9 0.296 0.539 0.989
O10 0.304 0.861 0.643
O11 0.305 0.955 0.412
O12 0.306 0.283 0.648
O13 0.337 0.670 0.265
O14 0.340 0.091 0.265
O15 0.414 0.430 0.362
O16 0.454 0.182 0.867
O17 0.482 0.290 0.503
O18 0.493 0.334 0.164
O19 0.494 0.713 0.502
O20 0.497 0.671 0.848
O21 0.515 0.825 0.140
O22 0.549 0.573 0.644
O23 0.644 0.329 0.741
O24 0.644 0.915 0.742
O25 0.661 0.048 0.592
O26 0.667 0.141 0.361
O27 0.668 0.720 0.359
O28 0.710 0.457 0.007
O29 0.717 0.057 0.009
O30 0.836 0.390 0.275
O31 0.885 0.356 0.598
O32 0.887 0.752 0.601
O33 0.918 0.886 0.266
O34 0.953 0.894 0.873
O35 0.956 0.765 0.028
O36 0.958 0.488 0.875
# - volume (Å³ per cell) = 802
# - E (eV per atom) = -7.344


Record 8
# TaBiO4 PBE relaxed
data_TaBiO4
_chemical_formula_sum 'Ta4 Bi4 O16'
_cell_length_a 5.577
_cell_length_b 7.676
_cell_length_c 7.750
_cell_angle_alpha 77.43
_cell_angle_beta 89.96
_cell_angle_gamma 86.70
_space_group_name_H-M_alt 'P 1'
_space_group_IT_number 1
_space_group_name_Hall 'P 1'
loop_
_atom_site_label
_atom_site_fract_x
_atom_site_fract_y
_atom_site_fract_z
Ta1 0.223 0.157 0.196
Ta2 0.245 0.175 0.695
Ta3 0.755 0.825 0.305
Ta4 0.777 0.843 0.804
Bi1 0.236 0.622 0.114
Bi2 0.289 0.672 0.609
Bi3 0.711 0.328 0.391
Bi4 0.764 0.378 0.886
O1 0.010 0.606 0.822
O2 0.040 0.668 0.369
O3 0.083 0.947 0.721
O4 0.149 0.177 0.947
O5 0.308 0.168 0.449
O6 0.434 0.950 0.213
O7 0.442 0.393 0.674
O8 0.459 0.345 0.135
O9 0.541 0.655 0.865
O10 0.558 0.607 0.326
O11 0.566 0.050 0.787
O12 0.692 0.832 0.551
O13 0.851 0.823 0.053
O14 0.917 0.053 0.279
O15 0.960 0.332 0.631
O16 0.990 0.394 0.178
# - volume (Å³ per cell) = 323
# - E (eV per atom) = -8.183


Record 9
# Tb2Bi2O5 PBE relaxed
data_Tb2Bi2O5
_chemical_formula_sum 'Tb2 Bi2 O5'
_cell_length_a 3.951
_cell_length_b 3.951
_cell_length_c 9.497
_cell_angle_alpha 90.00
_cell_angle_beta 90.00
_cell_angle_gamma 90.00
_space_group_name_H-M_alt 'P 1'
_space_group_IT_number 1
_space_group_name_Hall 'P 1'
loop_
_atom_site_label
_atom_site_fract_x
_atom_site_fract_y
_atom_site_fract_z
Tb1 0.000 0.000 0.248
Tb2 0.000 0.000 0.752
Bi1 0.500 0.500 0.000
Bi2 0.500 0.500 0.500
O1 0.000 0.000 0.000
O2 0.000 0.500 0.350
O3 0.000 0.500 0.650
O4 0.500 0.000 0.350
O5 0.500 0.000 0.650
# - volume (Å³ per cell) = 148
# - E (eV per atom) = -6.780
# - ΔE to the lowest computed polymorph (eV/atom) = 0.0000


Record 10
# Tb2BiO4 PBE relaxed
data_Tb2BiO4
_chemical_formula_sum 'Tb4 Bi2 O8'
_cell_length_a 6.958
_cell_length_b 6.958
_cell_length_c 6.958
_cell_angle_alpha 60.00
_cell_angle_beta 60.00
_cell_angle_gamma 60.00
_space_group_name_H-M_alt 'P 1'
_space_group_IT_number 1
_space_group_name_Hall 'P 1'
loop_
_atom_site_label
_atom_site_fract_x
_atom_site_fract_y
_atom_site_fract_z
Tb1 0.000 0.000 0.000
Tb2 0.000 0.000 0.500
Tb3 0.000 0.500 0.000
Tb4 0.500 0.000 0.000
Bi1 0.375 0.375 0.375
Bi2 0.625 0.625 0.625
O1 0.197 0.768 0.768
O2 0.232 0.232 0.232
O3 0.232 0.232 0.803
O4 0.232 0.803 0.232
O5 0.768 0.197 0.768
O6 0.768 0.768 0.197
O7 0.768 0.768 0.768
O8 0.803 0.232 0.232
# - volume (Å³ per cell) = 238
# - E (eV per atom) = -7.287


Record 11
# Tb2Bi2O5 PBE relaxed
data_Tb2Bi2O5
_chemical_formula_sum 'Tb2 Bi2 O5'
_cell_length_a 4.277
_cell_length_b 4.277
_cell_length_c 7.696
_cell_angle_alpha 90.00
_cell_angle_beta 90.00
_cell_angle_gamma 90.00
_space_group_name_H-M_alt 'P 1'
_space_group_IT_number 1
_space_group_name_Hall 'P 1'
loop_
_atom_site_label
_atom_site_fract_x
_atom_site_fract_y
_atom_site_fract_z
Tb1 0.000 0.000 0.000
Tb2 0.000 0.000 0.500
Bi1 0.500 0.500 0.219
Bi2 0.500 0.500 0.781
O1 0.000 0.500 0.295
O2 0.000 0.500 0.705
O3 0.500 0.000 0.295
O4 0.500 0.000 0.705
O5 0.500 0.500 0.500
# - volume (Å³ per cell) = 141
# - E (eV per atom) = -6.061
# - ΔE to the lowest computed polymorph (eV/atom) = 0.7192


Record 12
# TcBiO3 PBE relaxed
data_TcBiO3
_chemical_formula_sum 'Tc2 Bi2 O6'
_cell_length_a 5.338
_cell_length_b 5.338
_cell_length_c 5.338
_cell_angle_alpha 66.67
_cell_angle_beta 66.67
_cell_angle_gamma 66.67
_space_group_name_H-M_alt 'P 1'
_space_group_IT_number 1
_space_group_name_Hall 'P 1'
loop_
_atom_site_label
_atom_site_fract_x
_atom_site_fract_y
_atom_site_fract_z
Tc1 0.000 0.000 0.000
Tc2 0.500 0.500 0.500
Bi1 0.250 0.250 0.250
Bi2 0.750 0.750 0.750
O1 0.151 0.750 0.349
O2 0.250 0.651 0.849
O3 0.349 0.151 0.750
O4 0.651 0.849 0.250
O5 0.750 0.349 0.151
O6 0.849 0.250 0.651
# - volume (Å³ per cell) = 123
# - E (eV per atom) = -6.886


Record 13
# Tc2Bi2O5 PBE relaxed
data_Tc2Bi2O5
_chemical_formula_sum 'Tc2 Bi2 O5'
_cell_length_a 4.428
_cell_length_b 4.428
_cell_length_c 7.202
_cell_angle_alpha 90.00
_cell_angle_beta 90.00
_cell_angle_gamma 90.00
_space_group_name_H-M_alt 'P 1'
_space_group_IT_number 1
_space_group_name_Hall 'P 1'
loop_
_atom_site_label
_atom_site_fract_x
_atom_site_fract_y
_atom_site_fract_z
Tc1 0.000 0.000 0.000
Tc2 0.000 0.000 0.500
Bi1 0.500 0.500 0.216
Bi2 0.500 0.500 0.784
O1 0.000 0.500 0.222
O2 0.000 0.500 0.778
O3 0.500 0.000 0.222
O4 0.500 0.000 0.778
O5 0.500 0.500 0.500
# - volume (Å³ per cell) = 141
# - E (eV per atom) = -5.896
# - ΔE to the lowest computed polymorph (eV/atom) = 0.8124


Record 14
# TcBiO3 PBE relaxed
data_TcBiO3
_chemical_formula_sum 'Tc2 Bi2 O6'
_cell_length_a 6.319
_cell_length_b 6.319
_cell_length_c 6.319
_cell_angle_alpha 51.83
_cell_angle_beta 51.83
_cell_angle_gamma 51.83
_space_group_name_H-M_alt 'P 1'
_space_group_IT_number 1
_space_group_name_Hall 'P 1'
loop_
_atom_site_label
_atom_site_fract_x
_atom_site_fract_y
_atom_site_fract_z
Tc1 0.164 0.164 0.164
Tc2 0.836 0.836 0.836
Bi1 0.376 0.376 0.376
Bi2 0.624 0.624 0.624
O1 0.071 0.437 0.794
O2 0.206 0.929 0.563
O3 0.437 0.794 0.071
O4 0.563 0.206 0.929
O5 0.794 0.071 0.437
O6 0.929 0.563 0.206
# - volume (Å³ per cell) = 144
# - E (eV per atom) = -6.843